4
Lattice="3.999 0.000 0.000 0.000 3.999 0.000 -1.999 -1.999 3.956" Properties=species:S:1:pos:R:3 comment="meta-GGA SCAN CdNiAu2, PBEsol geometry" sg="I-4m2 (119)" energy_ev_per_atom=-46.269 formation_enthalpy_0k_ev_per_atom=-0.044 dos_at_fermi_per_ev_cell=1.40 mass_density_g_cm3=14.8 pbc="T T T"
Au 0.000 1.999 1.978
Au 0.000 0.000 0.000
Ni 1.999 0.000 1.978
Cd 1.999 1.999 0.000

24
Lattice="3.516 0.000 0.000 0.000 5.935 0.000 0.000 0.000 11.483" Properties=species:S:1:pos:R:3 comment="meta-GGA SCAN TbB4Ru, PBEsol geometry" sg="Pbam (55)" energy_ev_per_atom=-19.253 formation_enthalpy_0k_ev_per_atom=-0.702 dos_at_fermi_per_ev_cell=2.73 mass_density_g_cm3=8.4 pbc="T T T"
Tb 1.758 3.729 4.020
Tb 1.758 5.174 9.761
Tb 1.758 2.207 7.464
Tb 1.758 0.761 1.722
B 0.000 0.144 7.942
B 0.000 0.665 6.277
B 0.000 2.158 5.389
B 0.000 1.708 3.614
B 0.000 3.112 9.283
B 0.000 2.824 2.200
B 0.000 1.260 9.355
B 0.000 4.228 7.870
B 0.000 4.675 2.128
B 0.000 5.791 3.542
B 0.000 5.270 5.207
B 0.000 3.778 6.095
B 0.000 3.633 10.949
B 0.000 2.302 0.535
B 0.000 0.810 11.130
B 0.000 5.125 0.353
Ru 1.758 5.112 6.797
Ru 1.758 0.823 4.686
Ru 1.758 3.791 1.055
Ru 1.758 2.144 10.428

5
Lattice="-1.641 -2.529 2.319 1.377 -2.840 -2.123 5.151 -0.126 3.508" Properties=species:S:1:pos:R:3 comment="meta-GGA SCAN InH2AuBr, PBEsol geometry" sg="P4/mmm (123)" energy_ev_per_atom=-25.371 dos_at_fermi_per_ev_cell=1.75 mass_density_g_cm3=7.2 pbc="T T T"
Br 0.000 0.000 0.000
Au 2.443 -2.748 1.852
H 0.688 -1.420 -1.062
H -0.821 -1.265 1.160
In 2.576 -0.063 1.754

4
Lattice="2.798 0.000 0.000 1.399 2.423 0.000 1.399 0.808 8.505" Properties=species:S:1:pos:R:3 comment="meta-GGA SCAN Zn2AgIr, PBEsol geometry" sg="R-3m (166)" energy_ev_per_atom=-32.459 formation_enthalpy_0k_ev_per_atom=-0.085 dos_at_fermi_per_ev_cell=1.17 mass_density_g_cm3=12.4 pbc="T T T"
Ir 0.000 0.000 0.000
Ag 2.798 1.616 4.252
Zn 1.399 0.808 2.050
Zn 4.197 2.423 6.455

5
Lattice="4.800 0.000 0.000 0.000 5.002 0.000 0.000 0.000 5.002" Properties=species:S:1:pos:R:3 comment="meta-GGA SCAN MnTlTc2Sb, PBEsol geometry" sg="P4/mmm (123)" energy_ev_per_atom=-37.895 raw_formation_energy_ev_per_atom=1.703 dos_at_fermi_per_ev_cell=4.81 mass_density_g_cm3=8.0 pbc="T T T"
Mn 2.400 0.000 0.000
Tl 0.000 0.000 0.000
Tc 0.000 0.000 2.501
Tc 0.000 2.501 0.000
Sb 2.400 2.501 2.501

5
Lattice="-1.971 -2.996 -2.823 4.041 -2.170 -0.518 -1.003 -2.723 3.589" Properties=species:S:1:pos:R:3 comment="meta-GGA SCAN TaTcPdW2, PBEsol geometry" sg="P4/mmm (123)" energy_ev_per_atom=-52.482 formation_enthalpy_0k_ev_per_atom=2.277 dos_at_fermi_per_ev_cell=7.03 mass_density_g_cm3=12.9 pbc="T T T"
Pd 0.000 0.000 0.000
Tc -0.985 -1.498 -1.412
W -0.501 -1.362 1.795
W 2.020 -1.085 -0.259
Ta 0.534 -3.944 0.124

Q: Which formula does entry 4 have?
A: Zn2AgIr